w.
KCu2Au at its PBEsol-relaxed geometry. Source: Alexandria, functional meta-GGA SCAN.

a = 2.7278 Å, b = 4.9774 Å, c = 5.2276 Å
α = 90.00°, β = 90.00°, γ = 90.00°
Last column: nearest neighbours and their distance in Å.
Fractional coordinates of all 4 atoms:
Au1 0.0000 0.5000 0.5000  2 Au 2.73, 4 Cu 2.84, 4 K 2.95
Cu1 0.0000 0.0000 0.0000  6 Cu 2.73-2.95, 4 K 2.84
Cu2 0.5000 0.0000 0.5000  6 Cu 2.73-2.95, 4 Au 2.84
K1 0.5000 0.5000 0.0000  2 K 2.73, 4 Cu 2.84, 4 Au 2.95

Its space group is Pmmm.


x.
KCu2Au at its PBEsol-relaxed geometry. Source: Alexandria, functional meta-GGA SCAN.

a = 2.7897 Å, b = 4.9160 Å, c = 4.9160 Å
α = 90.00°, β = 90.00°, γ = 90.00°
Last column: nearest neighbours and their distance in Å.
Fractional coordinates of all 4 atoms:
Au1 0.5000 0.0000 0.0000  2 Au 2.79, 8 Cu 2.83
Cu1 0.0000 0.0000 0.5000  2 Cu 2.79, 4 K 2.83, 4 Au 2.83
Cu2 0.0000 0.5000 0.0000  2 Cu 2.79, 4 K 2.83, 4 Au 2.83
K1 0.5000 0.5000 0.5000  2 K 2.79, 8 Cu 2.83

Its space group is P4/mmm.


The data favor x; the next most stable structure lies 15 meV per atom above it.